[1]
! SCAN CuTe2Os, single point on PBEsol structure; values from VASP
! E_tot, eV/atom: -40.04
! ΔE_f (raw), eV per atom: 0.35
! Total magnetic moment, μB/cell: 0.00
&SYSTEM
  ibrav = 0, nat = 4, ntyp = 3
/
ATOMIC_SPECIES
Cu 63.55 Cu.upf
Os 190.23 Os.upf
Te 127.60 Te.upf
ATOMIC_POSITIONS crystal
Cu 0.5000 0.5000 0.5000
Os 0.0000 0.0000 0.0000
Te 0.7452 0.7452 0.7644
Te 0.2548 0.2548 0.2356
CELL_PARAMETERS angstrom
-2.6480 2.3110 1.5073
-1.6845 -0.9229 3.3069
3.0805 3.5770 4.7788

***

[2]
! SCAN CuTeOs2, single point on PBEsol structure; values from VASP
! E_tot, eV/atom: -48.07
! ΔE_f (raw), eV per atom: 0.98
! Total magnetic moment, μB/cell: 0.00
&SYSTEM
  ibrav = 0, nat = 4, ntyp = 3
/
ATOMIC_SPECIES
Cu 63.55 Cu.upf
Os 190.23 Os.upf
Te 127.60 Te.upf
ATOMIC_POSITIONS crystal
Cu 0.5000 0.0000 0.7700
Os 0.0000 0.0000 0.0003
Os 0.5000 0.0000 0.2269
Te 0.0000 0.0000 0.5028
CELL_PARAMETERS angstrom
2.8435 0.0000 0.0000
-1.4217 2.4686 0.0000
0.0000 0.0000 9.2980

***

[3]
! SCAN CuTeOs, single point on PBEsol structure; values from VASP
! E_tot, eV/atom: -41.00
! ΔE_f (raw), eV per atom: 0.44
! Total magnetic moment, μB/cell: 0.00
&SYSTEM
  ibrav = 0, nat = 3, ntyp = 3
/
ATOMIC_SPECIES
Cu 63.55 Cu.upf
Os 190.23 Os.upf
Te 127.60 Te.upf
ATOMIC_POSITIONS crystal
Cu 0.5000 0.5000 0.5000
Os 0.2500 0.2500 0.2500
Te 0.0000 0.0000 0.0000
CELL_PARAMETERS angstrom
-0.4912 -0.1368 4.2218
1.1637 -3.4704 2.1646
3.4068 0.1225 2.5420

***

[4]
! SCAN Cu2TeOs, single point on PBEsol structure; values from VASP
! E_tot, eV/atom: -34.31
! ΔE_f (raw), eV per atom: 0.57
! Total magnetic moment, μB/cell: 0.00
&SYSTEM
  ibrav = 0, nat = 4, ntyp = 3
/
ATOMIC_SPECIES
Cu 63.55 Cu.upf
Os 190.23 Os.upf
Te 127.60 Te.upf
ATOMIC_POSITIONS crystal
Cu 0.0000 0.5000 0.0000
Cu 0.5000 0.0000 0.0000
Os 0.5000 0.5000 0.5000
Te 0.0000 0.0000 0.5000
CELL_PARAMETERS angstrom
3.8289 0.0000 0.0000
0.0000 3.8289 0.0000
0.0000 0.0000 3.9911

***

[5]
! SCAN Tl2CuOs, single point on PBEsol structure; values from VASP
! E_tot, eV/atom: -57.25
! Formation energy from the elements, meV/atom: 695
! Total magnetic moment, μB/cell: 0.00
&SYSTEM
  ibrav = 0, nat = 4, ntyp = 3
/
ATOMIC_SPECIES
Cu 63.55 Cu.upf
Os 190.23 Os.upf
Tl 204.38 Tl.upf
ATOMIC_POSITIONS crystal
Cu 0.8217 0.0000 0.6433
Os 0.6772 0.5000 0.3543
Tl 0.1030 0.0000 0.2060
Tl 0.4016 0.5000 0.8032
CELL_PARAMETERS angstrom
-0.8893 2.3736 -2.3142
2.5914 -1.7494 -2.7901
-3.3377 -4.1919 -0.4717

***

[6]
! SCAN Tl2CuOs, single point on PBEsol structure; values from VASP
! E_tot, eV/atom: -57.03
! Formation energy from the elements, meV/atom: 923
! Total magnetic moment, μB/cell: 0.00
&SYSTEM
  ibrav = 0, nat = 4, ntyp = 3
/
ATOMIC_SPECIES
Cu 63.55 Cu.upf
Os 190.23 Os.upf
Tl 204.38 Tl.upf
ATOMIC_POSITIONS crystal
Cu 0.5000 0.5000 0.0000
Os 0.0000 0.0000 0.0000
Tl 0.7500 0.2500 0.5000
Tl 0.2500 0.7500 0.5000
CELL_PARAMETERS angstrom
-2.3815 3.2064 -1.2538
-2.6899 -2.6845 -1.7557
0.4847 -0.4454 4.9290

***

| no. | Fermi-level density of states (states/eV/atom) |
| --- | --- |
| 1 | 0.515 |
| 2 | 0.866 |
| 3 | 0.667 |
| 4 | 0.734 |
| 5 | 0.356 |
| 6 | 0.455 |